Record 1
## Sr2CaTlTe (PBE-GGA)

Data for Sr2CaTlTe after structural relaxation.

VASP energy (eV/atom): -2.666
D(E_F) (states/eV/cell): 5.6

Lattice parameters (Å, degrees): 6.254 6.254 5.833 90.00 90.00 90.00
Space group P4/mmm (No. 123)
Asymmetric unit:
Sr 0.000 0.500 0.000
Ca 0.000 0.000 0.500
Tl 0.500 0.500 0.500
Te 0.000 0.000 0.000



Record 2
## SrCa2TlTe (PBE-GGA)

Data for SrCa2TlTe after structural relaxation.

VASP energy (eV/atom): -1.614
D(E_F) (states/eV/cell): 7.2

Lattice parameters (Å, degrees): 6.516 6.516 5.810 90.00 90.00 90.00
Space group P4/mmm (No. 123)
Asymmetric unit:
Sr 0.000 0.000 0.000
Ca 0.000 0.500 0.000
Tl 0.000 0.000 0.500
Te 0.500 0.500 0.500



Record 3
## Sr2CaTmTe4 (PBE-GGA)

Data for Sr2CaTmTe4 after structural relaxation.

VASP energy (eV/atom): -4.362
D(E_F) (states/eV/cell): 2.5

Lattice parameters (Å, degrees): 7.884 4.536 7.940 90.00 109.19 90.00
Space group P2/m (No. 10)
Asymmetric unit:
Sr 0.000 0.000 0.000
Sr 0.500 0.500 0.000
Ca 0.000 0.500 0.500
Tm 0.500 0.000 0.500
Te 0.251 0.000 0.732
Te 0.263 0.500 0.272



Record 4
## Sr4CaY3Te8 (PBE-GGA)

Data for Sr4CaY3Te8 after structural relaxation.

VASP energy (eV/atom): -4.880
D(E_F) (states/eV/cell): 16.1

Lattice parameters (Å, degrees): 9.0568 9.0568 22.5790 90.00 90.00 120.00
Space group R-3m (No. 166, hexagonal axes)
Asymmetric unit:
Sr 0.0000 0.0000 0.0000
Sr 0.0000 0.5000 0.0000
Ca 0.0000 0.0000 0.5000
Y 0.0000 0.5000 0.5000
Te 0.0000 0.0000 0.2438
Te 0.0030 0.5015 0.7559



Record 5
## SrCaY2Te (PBE-GGA)

Data for SrCaY2Te after structural relaxation.

VASP energy (eV/atom): -4.139
D(E_F) (states/eV/cell): 7.4

Lattice parameters (Å, degrees): 5.827 5.827 6.222 90.00 90.00 90.00
Space group P4/mmm (No. 123)
Asymmetric unit:
Sr 0.000 0.000 0.000
Ca 0.500 0.500 0.000
Y 0.000 0.500 0.500
Te 0.000 0.000 0.500



Record 6
## Sr3Ca2YTe6 (PBE-GGA)

Data for Sr3Ca2YTe6 after structural relaxation.

VASP energy (eV/atom): -4.490
D(E_F) (states/eV/cell): 5.7

Lattice parameters (Å, degrees): 20.061 4.581 9.228 90.00 103.52 90.00
Space group C2/m (No. 12)
Asymmetric unit:
Sr 0.000 0.000 0.000
Sr 0.168 0.500 0.332
Ca 0.167 0.500 0.834
Y 0.000 0.000 0.500
Te 0.002 0.500 0.737
Te 0.161 0.000 0.588
Te 0.169 0.000 0.076



| no. | calculated volume (Å³/cell) |
| --- | --- |
| 1 | 228 |
| 2 | 247 |
| 3 | 268 |
| 4 | 1604 |
| 5 | 211 |
| 6 | 824 |